--- P ---
In2SnGe2 after structural relaxation, computed with PBE-GGA.

size of the total moment	0.000	μB per formula unit
symmetry	I4/mmm (139)

Unit cell a=4.4222 b=4.4222 c=7.2480 alpha=72.24 beta=72.24 gamma=90.00
Atoms (fractional coordinates):
1 In 0.2500 0.7500 0.5000
2 In 0.7500 0.2500 0.5000
3 Ge 0.5981 0.5981 0.8038
4 Ge 0.4019 0.4019 0.1962
5 Sn 0.0000 0.0000 0.0000

***

--- Q ---
In2SnGe2 after structural relaxation, computed with PBE-GGA.

size of the total moment	0.000	μB per formula unit
symmetry	I4/mmm (139)

Unit cell a=3.8024 b=3.8024 c=9.1225 alpha=77.97 beta=77.97 gamma=90.00
Atoms (fractional coordinates):
1 In 0.3918 0.3918 0.2164
2 Ge 0.7500 0.2500 0.5000
3 Ge 0.2500 0.7500 0.5000
4 In 0.6082 0.6082 0.7836
5 Sn 0.0000 0.0000 0.0000

***

--- R ---
In2SnGe2 after structural relaxation, computed with PBE-GGA.

size of the total moment	0.000	μB per formula unit
symmetry	P4/mbm (127)

Unit cell a=8.5572 b=8.5572 c=3.3144 alpha=90.00 beta=90.00 gamma=90.00
Atoms (fractional coordinates):
1 In 0.3569 0.8569 0.0000
2 Ge 0.1534 0.6534 0.5000
3 In 0.8569 0.6431 0.0000
4 Sn 0.0000 0.0000 0.0000
5 Ge 0.8466 0.3466 0.5000
6 Ge 0.6534 0.8466 0.5000
7 Ge 0.3466 0.1534 0.5000
8 Sn 0.5000 0.5000 0.0000
9 In 0.6431 0.1431 0.0000
10 In 0.1431 0.3569 0.0000

***

--- S ---
In2SnGe2 after structural relaxation, computed with PBE-GGA.

size of the total moment	0.000	μB per formula unit
symmetry	P4/mbm (127)

Unit cell a=8.3544 b=8.3544 c=3.4656 alpha=90.00 beta=90.00 gamma=90.00
Atoms (fractional coordinates):
1 In 0.1433 0.6433 0.5000
2 Ge 0.1557 0.3443 0.0000
3 In 0.3567 0.1433 0.5000
4 Ge 0.3443 0.8443 0.0000
5 Ge 0.8443 0.6557 0.0000
6 Ge 0.6557 0.1557 0.0000
7 In 0.6433 0.8567 0.5000
8 In 0.8567 0.3567 0.5000
9 Sn 0.5000 0.5000 0.0000
10 Sn 0.0000 0.0000 0.0000

***

Which of the structures shown above is the most stable? The most stable is Q.